1.
Entry from OQMD via LeMat-Bulk: a geometry-optimized TbGdCu2 structure (PBE). Values from VASP.

Summary:
The total magnetization comes out at 0.00 Bohr magnetons per cell. As for the formation enthalpy at 0 K: -0.95 eV/f.u. The space group is No. 38.

The structure in Quantum ESPRESSO input format:
```
&SYSTEM
  ibrav = 0, nat = 4, ntyp = 3
/
ATOMIC_SPECIES
Tb 158.93 Tb.upf
Gd 157.25 Gd.upf
Cu 63.55 Cu.upf
CELL_PARAMETERS angstrom
4.512 0.000 0.000
0.000 1.863 5.160
0.000 -1.863 5.160
ATOMIC_POSITIONS angstrom
Tb 0.000 0.000 0.000
Gd 2.256 0.000 7.413
Cu 0.000 0.000 2.985
Cu 2.256 0.000 4.435
```

---

2.
Entry from OQMD via LeMat-Bulk: a geometry-optimized TbGdCu structure (PBE). Values from VASP.

Summary:
Its energy above the most stable polymorph in this dataset is 0.00 eV per formula unit. The total magnetization comes out at 0.01 Bohr magnetons per cell. As for the formation enthalpy at 0 K: 0.23 eV/f.u. The space group is No. 216.

The structure in Quantum ESPRESSO input format:
```
&SYSTEM
  ibrav = 0, nat = 3, ntyp = 3
/
ATOMIC_SPECIES
Tb 158.93 Tb.upf
Gd 157.25 Gd.upf
Cu 63.55 Cu.upf
CELL_PARAMETERS angstrom
0.000 3.440 3.440
3.440 0.000 3.440
3.440 3.440 0.000
ATOMIC_POSITIONS angstrom
Tb 0.000 0.000 0.000
Gd 3.440 3.440 3.440
Cu 5.161 5.161 5.161
```

---

3.
Entry from OQMD via LeMat-Bulk: a geometry-optimized Gd2Cu2Te structure (PBE). Values from VASP.

Summary:
The total magnetization comes out at 0.02 Bohr magnetons per cell. As for the electronic total energy: -4.674 eV/atom. The space group is No. 187.

The structure in Quantum ESPRESSO input format:
```
&SYSTEM
  ibrav = 0, nat = 5, ntyp = 3
/
ATOMIC_SPECIES
Gd 157.25 Gd.upf
Cu 63.55 Cu.upf
Te 127.60 Te.upf
CELL_PARAMETERS angstrom
4.159 0.000 0.000
-2.080 3.602 0.000
0.000 0.000 7.902
ATOMIC_POSITIONS angstrom
Gd 0.000 0.000 1.854
Gd 0.000 0.000 6.048
Cu 0.000 2.401 0.000
Cu 2.080 1.201 0.000
Te 0.000 2.401 3.951
```

---

4.
Entry from OQMD via LeMat-Bulk: a geometry-optimized GdTmTlCu2 structure (PBE). Values from VASP.

Summary:
The total magnetization comes out at 0.02 Bohr magnetons per cell. As for the electronic total energy: -4.099 eV/atom. The space group is No. 38.

The structure in Quantum ESPRESSO input format:
```
&SYSTEM
  ibrav = 0, nat = 5, ntyp = 4
/
ATOMIC_SPECIES
Gd 157.25 Gd.upf
Tm 168.93 Tm.upf
Tl 204.38 Tl.upf
Cu 63.55 Cu.upf
CELL_PARAMETERS angstrom
3.701 0.000 0.000
0.000 2.046 7.103
0.000 -2.046 7.103
ATOMIC_POSITIONS angstrom
Gd 0.000 0.000 0.000
Tm 0.000 0.000 3.837
Tl 1.850 0.000 9.032
Cu 1.850 0.000 6.117
Cu 1.850 0.000 11.847
```

---

5.
Entry from OQMD via LeMat-Bulk: a geometry-optimized GdTmCu2 structure (PBE). Values from VASP.

Summary:
Its energy above the most stable polymorph in this dataset is 0.04 eV per formula unit. The total magnetization comes out at 0.00 Bohr magnetons per cell. As for the formation enthalpy at 0 K: -1.00 eV/f.u. The space group is No. 38.

The structure in Quantum ESPRESSO input format:
```
&SYSTEM
  ibrav = 0, nat = 4, ntyp = 3
/
ATOMIC_SPECIES
Gd 157.25 Gd.upf
Tm 168.93 Tm.upf
Cu 63.55 Cu.upf
CELL_PARAMETERS angstrom
4.492 0.000 0.000
0.000 1.833 5.141
0.000 -1.833 5.141
ATOMIC_POSITIONS angstrom
Gd 0.000 0.000 0.000
Tm 2.246 0.000 2.856
Cu 0.000 0.000 7.354
Cu 2.246 0.000 5.833
```

---

6.
Entry from OQMD via LeMat-Bulk: a geometry-optimized GdTmCu structure (PBE). Values from VASP.

Summary:
Its energy above the most stable polymorph in this dataset is 0.00 eV per formula unit. The total magnetization comes out at 0.00 Bohr magnetons per cell. As for the formation enthalpy at 0 K: 0.15 eV/f.u. The space group is No. 216.

The structure in Quantum ESPRESSO input format:
```
&SYSTEM
  ibrav = 0, nat = 3, ntyp = 3
/
ATOMIC_SPECIES
Gd 157.25 Gd.upf
Tm 168.93 Tm.upf
Cu 63.55 Cu.upf
CELL_PARAMETERS angstrom
0.000 3.399 3.399
3.399 0.000 3.399
3.399 3.399 0.000
ATOMIC_POSITIONS angstrom
Gd 0.000 0.000 0.000
Tm 3.399 3.399 3.399
Cu 1.699 1.699 1.699
```

---

7.
Entry from OQMD via LeMat-Bulk: a geometry-optimized GdTmCu2 structure (PBE). Values from VASP.

Summary:
Its energy above the most stable polymorph in this dataset is 0.00 eV per formula unit. The total magnetization comes out at 0.02 Bohr magnetons per cell. As for the formation enthalpy at 0 K: -1.05 eV/f.u. The space group is No. 26.

The structure in Quantum ESPRESSO input format:
```
&SYSTEM
  ibrav = 0, nat = 8, ntyp = 3
/
ATOMIC_SPECIES
Gd 157.25 Gd.upf
Tm 168.93 Tm.upf
Cu 63.55 Cu.upf
CELL_PARAMETERS angstrom
4.448 0.000 0.000
0.000 5.372 0.000
0.000 0.000 7.063
ATOMIC_POSITIONS angstrom
Gd 0.000 0.635 0.000
Gd 0.000 4.737 3.532
Tm 2.224 2.058 4.506
Tm 2.224 3.314 0.974
Cu 0.000 2.037 2.509
Cu 0.000 3.335 6.041
Cu 2.224 0.689 2.021
Cu 2.224 4.684 5.552
```

---

8.
Entry from OQMD via LeMat-Bulk: a geometry-optimized GdUCu structure (PBE). Values from VASP.

Summary:
Its energy above the most stable polymorph in this dataset is 0.00 eV per formula unit. The total magnetization comes out at 3.32 Bohr magnetons per cell. As for the formation enthalpy at 0 K: 1.96 eV/f.u. The space group is No. 216.

The structure in Quantum ESPRESSO input format:
```
&SYSTEM
  ibrav = 0, nat = 3, ntyp = 3
/
ATOMIC_SPECIES
Gd 157.25 Gd.upf
U 238.03 U.upf
Cu 63.55 Cu.upf
CELL_PARAMETERS angstrom
0.000 3.346 3.346
3.346 0.000 3.346
3.346 3.346 0.000
ATOMIC_POSITIONS angstrom
Gd 0.000 0.000 0.000
U 3.346 3.346 3.346
Cu 1.673 1.673 1.673
```

---

- Number 5 is which compound?
  GdTmCu2

---

Copy entry 7 word for word.
Entry from OQMD via LeMat-Bulk: a geometry-optimized GdTmCu2 structure (PBE). Values from VASP.

Summary:
Its energy above the most stable polymorph in this dataset is 0.00 eV per formula unit. The total magnetization comes out at 0.02 Bohr magnetons per cell. As for the formation enthalpy at 0 K: -1.05 eV/f.u. The space group is No. 26.

The structure in Quantum ESPRESSO input format:
```
&SYSTEM
  ibrav = 0, nat = 8, ntyp = 3
/
ATOMIC_SPECIES
Gd 157.25 Gd.upf
Tm 168.93 Tm.upf
Cu 63.55 Cu.upf
CELL_PARAMETERS angstrom
4.448 0.000 0.000
0.000 5.372 0.000
0.000 0.000 7.063
ATOMIC_POSITIONS angstrom
Gd 0.000 0.635 0.000
Gd 0.000 4.737 3.532
Tm 2.224 2.058 4.506
Tm 2.224 3.314 0.974
Cu 0.000 2.037 2.509
Cu 0.000 3.335 6.041
Cu 2.224 0.689 2.021
Cu 2.224 4.684 5.552
```